Entry 1:
VASP calculation (PBE) on crystalline NaTl2Pb at its relaxed geometry.

Geometry as POSCAR:
```
NaTl2Pb
1.0
0.0000 3.9072 3.9072
3.9072 0.0000 3.9072
3.9072 3.9072 0.0000
Na Tl Pb
1 2 1
direct
0.0000 0.0000 0.0000
0.2500 0.2500 0.2500
0.7500 0.7500 0.7500
0.5000 0.5000 0.5000
```

Results
The calculation puts the theoretical density at 8.89 g/cm3. As for the density of states at the Fermi level: 0.859 states/eV per atom. For the energy relative to the elements, the calculation gives -0.084 eV per atom.

Entry 2:
VASP calculation (PBE) on crystalline Na2Tl3Pb2 at its relaxed geometry.

Geometry as POSCAR:
```
Na2Tl3Pb2
1.0
6.0609 0.0000 0.0000
0.0000 6.5770 0.0000
-3.2600 0.0000 10.7522
Na Tl Pb
4 6 4
direct
0.1718 0.1760 0.2941
0.1718 0.3240 0.7941
0.8282 0.6760 0.2059
0.8282 0.8240 0.7059
0.0000 0.0000 0.0000
0.0000 0.5000 0.5000
0.2643 0.5584 0.0773
0.2643 0.9416 0.5773
0.7357 0.0584 0.4227
0.7357 0.4416 0.9227
0.4319 0.6452 0.3778
0.4319 0.8548 0.8778
0.5681 0.1452 0.1222
0.5681 0.3548 0.6222
```

Results
The calculation puts the theoretical density at 8.32 g/cm3. As for the density of states at the Fermi level: 0.405 states/eV per atom. For the energy relative to the elements, the calculation gives -0.065 eV per atom.

Entry 3:
VASP calculation (PBE) on crystalline Na2Tl8Pb at its relaxed geometry.

Geometry as POSCAR:
```
Na2Tl8Pb
1.0
5.3534 0.0000 0.0000
0.0000 5.3534 0.0000
0.0000 0.0000 12.0191
Na Tl Pb
2 8 1
direct
0.0000 0.0000 0.1718
0.0000 0.0000 0.8282
0.0000 0.5000 0.0000
0.0000 0.5000 0.3441
0.0000 0.5000 0.6559
0.5000 0.0000 0.0000
0.5000 0.0000 0.3441
0.5000 0.0000 0.6559
0.5000 0.5000 0.1692
0.5000 0.5000 0.8308
0.0000 0.0000 0.5000
```

Results
The calculation puts the theoretical density at 9.10 g/cm3. As for the density of states at the Fermi level: 0.562 states/eV per atom. For the energy relative to the elements, the calculation gives -0.016 eV per atom.

Entry 4:
VASP calculation (PBE) on crystalline Na3TlPb2 at its relaxed geometry.

Geometry as POSCAR:
```
Na3TlPb2
1.0
6.8261 0.0000 0.0000
0.0000 5.5559 0.0000
-1.7105 0.0000 9.2331
Na Tl Pb
6 2 4
direct
0.0300 0.2500 0.1116
0.2120 0.2500 0.7666
0.3675 0.2500 0.4331
0.6325 0.7500 0.5669
0.7880 0.7500 0.2334
0.9700 0.7500 0.8884
0.2811 0.7500 0.2177
0.7189 0.2500 0.7823
0.1328 0.7500 0.5572
0.4636 0.7500 0.8913
0.5364 0.2500 0.1087
0.8672 0.2500 0.4428
```

Results
The calculation puts the theoretical density at 6.52 g/cm3. As for the density of states at the Fermi level: 0.412 states/eV per atom. For the energy relative to the elements, the calculation gives -0.122 eV per atom.